1.
VASP calculation (PBE) on a geometry-optimized SrLaPb2 structure.

- V: 153 Å³ per cell

abc: 4.768 4.768 6.724
angles: 90.00 90.00 90.00
Positions (direct):
Sr (0.000, 0.000, 0.000)
La (0.500, 0.500, 0.500)
Pb (0.000, 0.000, 0.500)
Pb (0.500, 0.500, 0.000)

=====

2.
VASP calculation (PBE) on a geometry-optimized Sr2LaPb structure.

- V: 311 Å³ per cell

abc: 7.313 10.823 3.933
angles: 90.00 90.35 90.00
Positions (direct):
Sr (0.250, 0.250, 0.000)
Sr (0.250, 0.750, 0.000)
Sr (0.750, 0.250, 0.000)
Sr (0.750, 0.750, 0.000)
La (0.000, 0.000, 0.500)
La (0.500, 0.500, 0.500)
Pb (0.000, 0.500, 0.500)
Pb (0.500, 0.000, 0.500)

=====

3.
VASP calculation (PBE) on a geometry-optimized SrLaPb3 structure.

- V: 203 Å³ per cell
- ΔE to the lowest computed polymorph: 268.3 meV per atom

abc: 5.878 5.878 5.878
angles: 90.00 90.00 90.00
Positions (direct):
Sr (0.000, 0.000, 0.000)
La (0.500, 0.500, 0.500)
Pb (0.000, 0.000, 0.500)
Pb (0.000, 0.500, 0.000)
Pb (0.500, 0.000, 0.000)

=====

4.
VASP calculation (PBE) on a geometry-optimized SrLaPb2 structure.

- V: 432 Å³ per cell

abc: 4.074 4.074 30.050
angles: 90.00 90.00 120.00
Positions (direct):
Sr (0.000, 0.000, 0.000)
Sr (0.333, 0.667, 0.667)
Sr (0.667, 0.333, 0.333)
La (0.000, 0.000, 0.500)
La (0.333, 0.667, 0.167)
La (0.667, 0.333, 0.833)
Pb (0.000, 0.000, 0.249)
Pb (0.000, 0.000, 0.751)
Pb (0.333, 0.667, 0.418)
Pb (0.333, 0.667, 0.916)
Pb (0.667, 0.333, 0.084)
Pb (0.667, 0.333, 0.582)

=====

5.
VASP calculation (PBE) on a geometry-optimized SrLaPb2 structure.

- V: 265 Å³ per cell

abc: 5.369 5.369 9.209
angles: 90.00 90.00 90.00
Positions (direct):
Sr (0.000, 0.000, 0.000)
Sr (0.500, 0.500, 0.500)
La (0.000, 0.000, 0.500)
La (0.500, 0.500, 0.000)
Pb (0.000, 0.500, 0.250)
Pb (0.000, 0.500, 0.750)
Pb (0.500, 0.000, 0.250)
Pb (0.500, 0.000, 0.750)

=====

6.
VASP calculation (PBE) on a geometry-optimized Sr2LaPb structure.

- V: 149 Å³ per cell

abc: 5.213 5.213 5.494
angles: 90.00 90.00 90.00
Positions (direct):
Sr (0.000, 0.500, 0.000)
Sr (0.500, 0.000, 0.000)
La (0.000, 0.000, 0.500)
Pb (0.500, 0.500, 0.500)

=====

Let's list E_form in order: -0.28; -0.10; 0.38; -0.38; -0.52; -0.24 eV/atom.